i:
Compound: ZrS2BrCl
Source: the Alexandria database
Functional: GGA-PBE
Structure: relaxed

Cell lengths 4.9899, 4.9899, 4.7965 Å; angles 90.00, 90.00, 90.00 degrees
Space group P4/mmm (No. 123)
Inequivalent atoms, fractional coordinates:
Zr (0.0000, 0.0000, 0.0000) x1
S (0.0000, 0.5000, 0.5000) x2
Br (0.5000, 0.5000, 0.5000) x1
Cl (0.5000, 0.5000, 0.0000) x1

Computed properties:
Magnetization (μB/f.u.): 1.2
N(E_F) (states/eV/cell): 6.16

ii:
Compound: ZrS2BrCl
Source: the Alexandria database
Functional: GGA-PBE
Structure: relaxed

Cell lengths 5.0506, 5.0506, 5.0348 Å; angles 90.00, 90.00, 90.00 degrees
Space group P4/mmm (No. 123)
Inequivalent atoms, fractional coordinates:
Zr (0.0000, 0.0000, 0.0000) x1
S (0.0000, 0.5000, 0.0000) x2
Br (0.5000, 0.5000, 0.5000) x1
Cl (0.0000, 0.0000, 0.5000) x1

Computed properties:
Magnetization (μB/f.u.): 1.4
N(E_F) (states/eV/cell): 6.08

The structure with the least stability is i.

i:
Compound: ZrSBrCl2
Source: the Alexandria database
Functional: GGA-PBE
Structure: relaxed

Cell lengths 4.9529, 4.9529, 5.3863 Å; angles 90.00, 90.00, 90.00 degrees
Space group P4/mmm (No. 123)
Inequivalent atoms, fractional coordinates:
Zr (0.0000, 0.0000, 0.0000) x1
S (0.5000, 0.5000, 0.0000) x1
Br (0.5000, 0.5000, 0.5000) x1
Cl (0.0000, 0.5000, 0.5000) x2

Computed properties:
Magnetization (μB/f.u.): 2.0
N(E_F) (states/eV/cell): 7.36

ii:
Compound: ZrSBrCl2
Source: the Alexandria database
Functional: GGA-PBE
Structure: relaxed

Cell lengths 5.0578, 5.0578, 5.0436 Å; angles 90.00, 90.00, 90.00 degrees
Space group P4/mmm (No. 123)
Inequivalent atoms, fractional coordinates:
Zr (0.0000, 0.0000, 0.0000) x1
S (0.0000, 0.0000, 0.5000) x1
Br (0.5000, 0.5000, 0.5000) x1
Cl (0.0000, 0.5000, 0.0000) x2

Computed properties:
Magnetization (μB/f.u.): 0.8
N(E_F) (states/eV/cell): 4.75

The structure with the least stability is i.

i:
Compound: Sb2BrCl
Source: the Alexandria database
Functional: GGA-PBE
Structure: relaxed

Cell lengths 6.5064, 9.6133, 3.2670 Å; angles 90.00, 90.00, 90.00 degrees
Space group Cmmm (No. 65)
Inequivalent atoms, fractional coordinates:
Sb (0.2500, 0.2500, 0.0000) x4
Br (0.0000, 0.0000, 0.5000) x2
Cl (0.0000, 0.5000, 0.5000) x2

Computed properties:
Magnetization (μB/f.u.): 0.0
N(E_F) (states/eV/cell): 5.43

ii:
Compound: Sb2BrCl
Source: the Alexandria database
Functional: GGA-PBE
Structure: relaxed

Cell lengths 3.8083, 4.8183, 14.0914 Å; angles 90.00, 90.00, 90.00 degrees
Space group Imm2 (No. 44)
Inequivalent atoms, fractional coordinates:
Sb (0.0000, 0.0000, 0.0000) x2
Sb (0.0000, 0.5000, 0.3420) x2
Br (0.0000, 0.5000, 0.7837) x2
Cl (0.0000, 0.0000, 0.5220) x2

Computed properties:
Magnetization (μB/f.u.): 0.0
N(E_F) (states/eV/cell): 3.38

iii:
Compound: Sb2BrCl
Source: the Alexandria database
Functional: GGA-PBE
Structure: relaxed

Cell lengths 6.8807, 9.9342, 3.4886 Å; angles 90.00, 120.02, 90.00 degrees
Space group C2/m (No. 12)
Inequivalent atoms, fractional coordinates:
Sb (0.2500, 0.2500, 0.0000) x4
Br (0.0000, 0.0000, 0.0000) x2
Cl (0.0000, 0.5000, 0.0000) x2

Computed properties:
Magnetization (μB/f.u.): 0.0
N(E_F) (states/eV/cell): 3.33

The structure with the least stability is i.

i:
Compound: Sb2BrCl
Source: the Alexandria database
Functional: GGA-PBE
Structure: relaxed

Cell lengths 4.5901, 4.5901, 9.6985 Å; angles 90.00, 90.00, 90.00 degrees
Space group I4/mmm (No. 139)
Inequivalent atoms, fractional coordinates:
Sb (0.0000, 0.5000, 0.2500) x4
Br (0.0000, 0.0000, 0.0000) x2
Cl (0.0000, 0.0000, 0.5000) x2

Computed properties:
Magnetization (μB/f.u.): 0.0
N(E_F) (states/eV/cell): 3.92

ii:
Compound: Sb2BrCl
Source: the Alexandria database
Functional: GGA-PBE
Structure: relaxed

Cell lengths 5.4274, 3.5138, 5.9804 Å; angles 90.00, 90.07, 90.00 degrees
Space group P2/m (No. 10)
Inequivalent atoms, fractional coordinates:
Sb (0.0000, 0.0000, 0.0000) x1
Sb (0.0000, 0.5000, 0.5000) x1
Br (0.5000, 0.0000, 0.0000) x1
Cl (0.5000, 0.5000, 0.5000) x1

Computed properties:
Magnetization (μB/f.u.): 0.0
N(E_F) (states/eV/cell): 0.73

The structure with the least stability is i.

i:
Compound: Sb2BrCl
Source: the Alexandria database
Functional: GGA-PBE
Structure: relaxed

Cell lengths 3.2725, 4.7151, 6.9877 Å; angles 90.00, 90.00, 90.00 degrees
Space group Pmmm (No. 47)
Inequivalent atoms, fractional coordinates:
Sb (0.0000, 0.0000, 0.2093) x2
Br (0.5000, 0.5000, 0.5000) x1
Cl (0.5000, 0.5000, 0.0000) x1

Computed properties:
Magnetization (μB/f.u.): 0.0
N(E_F) (states/eV/cell): 2.53

ii:
Compound: Sb2BrCl
Source: the Alexandria database
Functional: GGA-PBE
Structure: relaxed

Cell lengths 3.8790, 3.8790, 7.2959 Å; angles 90.00, 90.00, 90.00 degrees
Space group P4/mmm (No. 123)
Inequivalent atoms, fractional coordinates:
Sb (0.0000, 0.0000, 0.2017) x2
Br (0.5000, 0.5000, 0.5000) x1
Cl (0.5000, 0.5000, 0.0000) x1

Computed properties:
Magnetization (μB/f.u.): 0.0
N(E_F) (states/eV/cell): 3.17

iii:
Compound: Sb2BrCl
Source: the Alexandria database
Functional: GGA-PBE
Structure: relaxed

Cell lengths 3.4247, 6.0805, 9.9422 Å; angles 90.00, 90.00, 90.00 degrees
Space group Cmmm (No. 65)
Inequivalent atoms, fractional coordinates:
Sb (0.0000, 0.0000, 0.2444) x4
Br (0.0000, 0.5000, 0.5000) x2
Cl (0.0000, 0.5000, 0.0000) x2

Computed properties:
Magnetization (μB/f.u.): 0.0
N(E_F) (states/eV/cell): 3.72

The structure with the least stability is ii.

i:
Compound: Sb2BrCl
Source: the Alexandria database
Functional: GGA-PBE
Structure: relaxed

Cell lengths 3.4130, 6.1291, 7.7320 Å; angles 90.00, 101.22, 90.00 degrees
Space group Pm (No. 6)
Inequivalent atoms, fractional coordinates:
Sb (0.0000, 0.0000, 0.0000) x1
Sb (0.0116, 0.5000, 0.0168) x1
Br (0.8644, 0.5000, 0.6830) x1
Cl (0.1387, 0.0000, 0.3148) x1

Computed properties:
Magnetization (μB/f.u.): 0.0
N(E_F) (states/eV/cell): 0.40

ii:
Compound: Sb2BrCl
Source: the Alexandria database
Functional: GGA-PBE
Structure: relaxed

Cell lengths 11.5208, 4.1819, 6.3345 Å; angles 90.00, 103.18, 90.00 degrees
Space group Cm (No. 8)
Inequivalent atoms, fractional coordinates:
Sb (0.0000, 0.0000, 0.0000) x2
Sb (0.0987, 0.5000, 0.3134) x2
Br (0.1958, 0.0000, 0.8632) x2
Cl (0.4230, 0.0000, 0.4650) x2

Computed properties:
Magnetization (μB/f.u.): 0.0

The structure with the least stability is i.

i:
Compound: Sb2BrCl
Source: the Alexandria database
Functional: GGA-PBE
Structure: relaxed

Cell lengths 3.4350, 6.2933, 10.7303 Å; angles 90.00, 90.00, 90.00 degrees
Space group Cmm2 (No. 35)
Inequivalent atoms, fractional coordinates:
Sb (0.0000, 0.0000, 0.0000) x2
Sb (0.0000, 0.5000, 0.2537) x2
Br (0.0000, 0.0000, 0.4645) x2
Cl (0.0000, 0.5000, 0.8033) x2

Computed properties:
Magnetization (μB/f.u.): 0.0
N(E_F) (states/eV/cell): 3.39

ii:
Compound: Sb2BrCl
Source: the Alexandria database
Functional: GGA-PBE
Structure: relaxed

Cell lengths 4.1772, 4.9453, 5.8836 Å; angles 90.00, 92.20, 90.00 degrees
Space group P2/m (No. 10)
Inequivalent atoms, fractional coordinates:
Sb (0.2361, 0.0000, 0.3215) x2
Br (0.0000, 0.5000, 0.0000) x1
Cl (0.5000, 0.5000, 0.5000) x1

Computed properties:
Magnetization (μB/f.u.): 0.0
N(E_F) (states/eV/cell): 1.18

iii:
Compound: Sb2BrCl
Source: the Alexandria database
Functional: GGA-PBE
Structure: relaxed

Cell lengths 7.3267, 7.3267, 7.3267 Å; angles 90.00, 90.00, 90.00 degrees
Space group F-43m (No. 216)
Inequivalent atoms, fractional coordinates:
Sb (0.0000, 0.0000, 0.0000) x4
Sb (0.2500, 0.2500, 0.2500) x4
Br (0.0000, 0.0000, 0.5000) x4
Cl (0.2500, 0.2500, 0.7500) x4

Computed properties:
Magnetization (μB/f.u.): 0.0
N(E_F) (states/eV/cell): 5.71

The structure with the least stability is i.

i:
Compound: Sb2BrCl
Source: the Alexandria database
Functional: GGA-PBE
Structure: relaxed

Cell lengths 3.4422, 3.4422, 29.6266 Å; angles 90.00, 90.00, 120.00 degrees
Space group R-3m (No. 166, hexagonal axes)
Inequivalent atoms, fractional coordinates:
Sb (0.0000, 0.0000, 0.2483) x6
Br (0.0000, 0.0000, 0.0000) x3
Cl (0.0000, 0.0000, 0.5000) x3

Computed properties:
Magnetization (μB/f.u.): 0.0
N(E_F) (states/eV/cell): 5.09

ii:
Compound: Sb2BrCl
Source: the Alexandria database
Functional: GGA-PBE
Structure: relaxed

Cell lengths 4.6048, 4.6048, 4.8139 Å; angles 90.00, 90.00, 90.00 degrees
Space group P4/mmm (No. 123)
Inequivalent atoms, fractional coordinates:
Sb (0.0000, 0.5000, 0.0000) x2
Br (0.0000, 0.0000, 0.5000) x1
Cl (0.5000, 0.5000, 0.5000) x1

Computed properties:
Magnetization (μB/f.u.): 0.0
N(E_F) (states/eV/cell): 1.56

iii:
Compound: Sb2BrCl
Source: the Alexandria database
Functional: GGA-PBE
Structure: relaxed

Cell lengths 12.2142, 4.2152, 6.6641 Å; angles 90.00, 119.03, 90.00 degrees
Space group C2/m (No. 12)
Inequivalent atoms, fractional coordinates:
Sb (0.2465, 0.0000, 0.1517) x4
Br (0.0000, 0.5000, 0.5000) x2
Cl (0.0000, 0.0000, 0.0000) x2

Computed properties:
Magnetization (μB/f.u.): 0.0
N(E_F) (states/eV/cell): 0.80

The structure with the least stability is ii.